Computed, not measured: NiWO4 after structural relaxation at the GGA+U level of DFT.

Structure (POSCAR):
```
NiWO4
1.0
4.6676 -0.0046 0.0000
-0.0565 5.0255 0.0000
0.0000 0.0000 5.7313
Ni W O
2 2 8
Direct
0.5000 0.7500 0.3450
0.5000 0.2500 0.6550
0.0000 0.2500 0.1738
0.0000 0.7500 0.8262
0.7402 0.0972 0.3770
0.2598 0.4028 0.3770
0.2598 0.9028 0.6230
0.7402 0.5972 0.6230
0.7807 0.0698 0.8905
0.2193 0.4302 0.8905
0.7807 0.5698 0.1095
0.2193 0.9302 0.1095
```

## Properties
VASP energy, eV per cell: -79.928
Space group: P2/c, No. 13